A geometry-optimized K4Dy3FeO8 structure, computed with PBE with a Hubbard U.

```
K4Dy3FeO8
1.0
-2.686 -3.210 5.362
5.223 -5.172 -0.479
2.025 6.470 0.573
O Dy Fe K
8 3 1 4
direct
0.781 0.318 0.037
0.729 0.687 0.458
0.744 0.682 0.963
0.219 0.682 0.439
0.256 0.318 0.037
0.219 0.682 0.963
0.271 0.313 0.542
0.781 0.318 0.561
0.000 0.500 0.500
0.500 0.500 0.500
0.500 0.500 0.000
0.000 0.500 0.000
0.500 0.000 0.000
0.500 0.000 0.500
0.000 0.000 0.000
0.000 0.000 0.500
```

Calculated values
- calculated total energy (eV per atom) = -6.37
- density of states at the Fermi level (states/eV/atom) = 0.00
- theoretical density (Mg/m³) = 5.50
- size of the total moment (μB per cell) = 5.0